First-principles (PBE+U) data for a relaxed VGePO2 crystal, as listed in Alexandria via LeMat-Bulk.

abc: 3.661 3.661 5.168
angles: 90.00 90.00 90.00
Space group P4/mmm (No. 123)
Asymmetric unit:
V  0.000  0.000  0.000 (multiplicity 1)
Ge  0.500  0.500  0.500 (multiplicity 1)
P  0.500  0.500  0.000 (multiplicity 1)
O  0.000  0.500  0.500 (multiplicity 2)

Summary:
- total energy (eV/atom) = -5.82
- Fermi-level density of states (states/eV/atom) = 0.2451
- calculated density (Mg/m³) = 4.5